(1)
KTlGe2Sb | PBE | optimized geometry

The structure in CIF format:
```
data_KTlGe2Sb
_cell_length_a 5.426
_cell_length_b 5.426
_cell_length_c 5.943
_cell_angle_alpha 90.00
_cell_angle_beta 90.00
_cell_angle_gamma 90.00
_space_group_name_H-M_alt 'P 1'
_space_group_IT_number 1
loop_
_space_group_symop_operation_xyz
'x,y,z'
loop_
_atom_site_label
_atom_site_type_symbol
_atom_site_fract_x
_atom_site_fract_y
_atom_site_fract_z
K1 K 0.000 0.000 0.000
Tl1 Tl 0.000 0.000 0.500
Ge1 Ge 0.000 0.500 0.500
Ge2 Ge 0.500 0.000 0.500
Sb1 Sb 0.500 0.500 0.000
```

Computed properties:
Energy relative to the elements, uncorrected   0.720 eV/atom
SG   P4/mmm, No. 123
Crystal system   tetragonal
Calculated volume   34.992 Å³/atom

(2)
IrNCl2 | PBE | optimized geometry

The structure in CIF format:
```
data_IrNCl2
_cell_length_a 6.796
_cell_length_b 6.796
_cell_length_c 6.796
_cell_angle_alpha 30.65
_cell_angle_beta 30.65
_cell_angle_gamma 30.65
_space_group_name_H-M_alt 'P 1'
_space_group_IT_number 1
loop_
_space_group_symop_operation_xyz
'x,y,z'
loop_
_atom_site_label
_atom_site_type_symbol
_atom_site_fract_x
_atom_site_fract_y
_atom_site_fract_z
Ir1 Ir 0.000 0.000 0.000
N1 N 0.500 0.500 0.500
Cl1 Cl 0.401 0.401 0.401
Cl2 Cl 0.599 0.599 0.599
```

Computed properties:
Energy relative to the elements, uncorrected   1.517 eV/atom
SG   R-3m, No. 166
Crystal system   trigonal
Offset from the most stable computed form   1221.4 meV per atom
Calculated volume   18.089 Å³/atom